Material: Ce2BS6
Method: DFT, PBE
State: relaxed

It has space group P4_2/mnm (No. 136), with a = 5.8048 Å, b = 5.8048 Å, c = 11.9461 Å, α = 90.00°, β = 90.00° and γ = 90.00°. Symmetry generates all atoms from Ce at (0.0000, 0.0000, 0.1675), B at (0.0000, 0.0000, 0.5000), S at (0.1741, 0.1741, 0.3667) and S at (0.2276, 0.2276, 0.0000).

The calculation puts the raw formation energy at -0.7259 eV/atom. The size of the total moment comes out at 0.0 μB per cell. Its calculated total energy is -5.538 eV/atom. As for the density of states at the Fermi level: 14.6 states/eV per cell.


Material: Rb2InF6
Method: DFT, PBE
State: relaxed

It has space group P6_3mc (No. 186), with a = 6.4270 Å, b = 6.4270 Å, c = 9.5237 Å, α = 90.00°, β = 90.00° and γ = 120.00°. Symmetry generates all atoms from Rb at (0.0000, 0.0000, 0.0000), Rb at (0.3333, 0.6667, 0.2576), In at (0.3333, 0.6667, 0.6624), F at (0.0304, 0.5152, 0.5288) and F at (0.1685, 0.3371, 0.7663).

The calculation puts the raw formation energy at -2.3457 eV/atom. The size of the total moment comes out at 2.2 μB per cell. Its calculated total energy is -4.113 eV/atom. As for the density of states at the Fermi level: 28.5 states/eV per cell.


Material: CdBPd5
Method: DFT, PBE
State: relaxed

It has space group P4/mmm (No. 123), with a = 3.8767 Å, b = 3.8767 Å, c = 6.9537 Å, α = 90.00°, β = 90.00° and γ = 90.00°. Symmetry generates all atoms from Cd at (0.0000, 0.0000, 0.0000), B at (0.5000, 0.5000, 0.5000), Pd at (0.0000, 0.5000, 0.3109) and Pd at (0.5000, 0.5000, 0.0000).

The size of the total moment comes out at 0.0 μB per cell. Its calculated total energy is -4.955 eV/atom. As for the density of states at the Fermi level: 5.3 states/eV per cell. The calculation puts the formation energy at -1.1 eV/f.u.


Material: TbPm2Y5Tm
Method: DFT, PBE
State: relaxed

It has space group I4/mcm (No. 140), with a = 8.6687 Å, b = 8.6687 Å, c = 15.6323 Å, α = 90.00°, β = 90.00° and γ = 90.00°. Symmetry generates all atoms from Tb at (0.0000, 0.0000, 0.2500), Pm at (0.1168, 0.3832, 0.0000), Y at (0.0000, 0.0000, 0.0000), Y at (0.2106, 0.2894, 0.3612) and Tm at (0.0000, 0.5000, 0.2500).

The size of the total moment comes out at 0.0 μB per cell. Its calculated total energy is -5.394 eV/atom. As for the density of states at the Fermi level: 48.5 states/eV per cell. The calculation puts the formation energy at 2.4 eV/f.u.


Material: CaTl2SnS4
Method: DFT, PBE
State: relaxed

It has space group Imma (No. 74), with a = 8.1596 Å, b = 8.5475 Å, c = 11.7541 Å, α = 90.00°, β = 90.00° and γ = 90.00°. Symmetry generates all atoms from Ca at (0.0000, 0.0000, 0.0000), Tl at (0.0000, 0.0000, 0.5000), Tl at (0.2500, 0.2500, 0.2500), Sn at (0.2500, 0.2500, 0.7500), S at (0.0000, 0.0382, 0.7584) and S at (0.2289, 0.2500, 0.9716).

The calculation puts the raw formation energy at -0.7476 eV/atom. The size of the total moment comes out at 0.0 μB per cell. Its calculated total energy is -4.153 eV/atom. As for the density of states at the Fermi level: 10.8 states/eV per cell.


Material: Ho2ZnGa4Pt3
Method: DFT, PBE
State: relaxed

It has space group P-4m2 (No. 115), with a = 4.1180 Å, b = 4.1180 Å, c = 10.9732 Å, α = 90.00°, β = 90.00° and γ = 90.00°. Symmetry generates all atoms from Ho at (0.0000, 0.5000, 0.2464), Zn at (0.0000, 0.0000, 0.5000), Ga at (0.0000, 0.0000, 0.0000), Ga at (0.0000, 0.5000, 0.6360), Ga at (0.5000, 0.5000, 0.0000), Pt at (0.0000, 0.5000, 0.8604) and Pt at (0.5000, 0.5000, 0.5000).

The size of the total moment comes out at 0.0 μB per cell. Its calculated total energy is -4.905 eV/atom. As for the density of states at the Fermi level: 5.4 states/eV per cell. The calculation puts the formation energy at -8.4 eV/f.u.


Material: K2TaAs
Method: DFT, PBE
State: relaxed

It has space group F-43m (No. 216), with a = 7.5580 Å, b = 7.5580 Å, c = 7.5580 Å, α = 90.00°, β = 90.00° and γ = 90.00°. Symmetry generates all atoms from K at (0.0000, 0.0000, 0.0000), K at (0.2500, 0.2500, 0.2500), Ta at (0.2500, 0.2500, 0.7500) and As at (0.0000, 0.0000, 0.5000).

The size of the total moment comes out at 15.6 μB per cell. Its calculated total energy is -3.687 eV/atom. As for the density of states at the Fermi level: 18.8 states/eV per cell. The calculation puts the formation energy at 3.9 eV/f.u.


Material: PrGdGaSn
Method: DFT, PBE
State: relaxed

It has space group F-43m (No. 216), with a = 7.5562 Å, b = 7.5562 Å, c = 7.5562 Å, α = 90.00°, β = 90.00° and γ = 90.00°. Symmetry generates all atoms from Pr at (0.0000, 0.0000, 0.0000), Gd at (0.0000, 0.0000, 0.5000), Ga at (0.2500, 0.2500, 0.2500) and Sn at (0.2500, 0.2500, 0.7500).

The size of the total moment comes out at 28.7 μB per cell. Its calculated total energy is -7.037 eV/atom. As for the density of states at the Fermi level: 12.9 states/eV per cell. The calculation puts the formation energy at -2.3 eV/f.u.